1.
This record from Alexandria via LeMat-Bulk describes a geometry-optimized TbZrZnRh structure. The functional is GGA-PBE.

Computed properties:
formation energy: -0.462 eV per atom
volume: 19.88 Å³ per atom
theoretical density: 8.74 Mg/m³
SG: F-43m, No. 216

a = 6.8262 Å, b = 6.8262 Å, c = 6.8262 Å
α = 90.00°, β = 90.00°, γ = 90.00°
Closest atoms and distances in Å follow each position.
Fractional coordinates of all 16 atoms:
Tb (0.0000, 0.0000, 0.0000)  4 Zn 2.96, 4 Rh 2.96
Tb (0.0000, 0.5000, 0.5000)  4 Zn 2.96, 4 Rh 2.96
Tb (0.5000, 0.0000, 0.5000)  4 Zn 2.96, 4 Rh 2.96
Tb (0.5000, 0.5000, 0.0000)  4 Zn 2.96, 4 Rh 2.96
Zr (0.0000, 0.0000, 0.5000)  4 Rh 2.96, 4 Zn 2.96
Zr (0.0000, 0.5000, 0.0000)  4 Rh 2.96, 4 Zn 2.96
Zr (0.5000, 0.0000, 0.0000)  4 Rh 2.96, 4 Zn 2.96
Zr (0.5000, 0.5000, 0.5000)  4 Rh 2.96, 4 Zn 2.96
Zn (0.2500, 0.2500, 0.2500)  4 Zr 2.96, 4 Tb 2.96
Zn (0.2500, 0.7500, 0.7500)  4 Zr 2.96, 4 Tb 2.96
Zn (0.7500, 0.2500, 0.7500)  4 Zr 2.96, 4 Tb 2.96
Zn (0.7500, 0.7500, 0.2500)  4 Zr 2.96, 4 Tb 2.96
Rh (0.2500, 0.2500, 0.7500)  4 Zr 2.96, 4 Tb 2.96
Rh (0.2500, 0.7500, 0.2500)  4 Zr 2.96, 4 Tb 2.96
Rh (0.7500, 0.2500, 0.2500)  4 Zr 2.96, 4 Tb 2.96
Rh (0.7500, 0.7500, 0.7500)  4 Zr 2.96, 4 Tb 2.96



2.
This record from Alexandria via LeMat-Bulk describes a geometry-optimized NiAsPdPt structure. The functional is GGA-PBE.

Computed properties:
formation energy: -0.094 eV per atom
volume: 14.63 Å³ per atom
theoretical density: 12.34 Mg/m³
SG: F-43m, No. 216

a = 6.1635 Å, b = 6.1635 Å, c = 6.1635 Å
α = 90.00°, β = 90.00°, γ = 90.00°
Closest atoms and distances in Å follow each position.
Fractional coordinates of all 16 atoms:
Ni (0.0000, 0.0000, 0.0000)  4 Pd 2.67, 4 Pt 2.67
Ni (0.0000, 0.5000, 0.5000)  4 Pd 2.67, 4 Pt 2.67
Ni (0.5000, 0.0000, 0.5000)  4 Pd 2.67, 4 Pt 2.67
Ni (0.5000, 0.5000, 0.0000)  4 Pd 2.67, 4 Pt 2.67
As (0.0000, 0.0000, 0.5000)  4 Pt 2.67, 4 Pd 2.67
As (0.0000, 0.5000, 0.0000)  4 Pt 2.67, 4 Pd 2.67
As (0.5000, 0.0000, 0.0000)  4 Pt 2.67, 4 Pd 2.67
As (0.5000, 0.5000, 0.5000)  4 Pt 2.67, 4 Pd 2.67
Pd (0.2500, 0.2500, 0.7500)  4 As 2.67, 4 Ni 2.67
Pd (0.2500, 0.7500, 0.2500)  4 As 2.67, 4 Ni 2.67
Pd (0.7500, 0.2500, 0.2500)  4 As 2.67, 4 Ni 2.67
Pd (0.7500, 0.7500, 0.7500)  4 As 2.67, 4 Ni 2.67
Pt (0.2500, 0.2500, 0.2500)  4 Ni 2.67, 4 As 2.67
Pt (0.2500, 0.7500, 0.7500)  4 As 2.67, 4 Ni 2.67
Pt (0.7500, 0.2500, 0.7500)  4 As 2.67, 4 Ni 2.67
Pt (0.7500, 0.7500, 0.2500)  4 As 2.67, 4 Ni 2.67



theoretical density of number 1 (TbZrZnRh)?
8.74 Mg/m³



Among the records above, which one has the lowest theoretical density?
TbZrZnRh